# 1
# Er4CoBr5 PBE-GGA relaxed
# - Raw formation energy: -1.3247 eV/atom
# - SG: No. 12
data_Er4CoBr5
_chemical_formula_sum 'Er4 Co1 Br5'
_cell_length_a 3.850
_cell_length_b 8.367
_cell_length_c 9.513
_cell_angle_alpha 102.17
_cell_angle_beta 101.67
_cell_angle_gamma 90.00
_symmetry_space_group_name_H-M 'P 1'
_symmetry_Int_Tables_number 1
loop_
_symmetry_equiv_pos_as_xyz
'x,y,z'
loop_
_atom_site_label
_atom_site_type_symbol
_atom_site_fract_x
_atom_site_fract_y
_atom_site_fract_z
Er1 Er 0.356 0.925 0.713
Er2 Er 0.999 0.793 0.998
Er3 Er 0.644 0.075 0.287
Er4 Er 0.001 0.207 0.002
Co1 Co 0.500 0.000 0.000
Br1 Br 0.832 0.665 0.664
Br2 Br 0.822 0.159 0.643
Br3 Br 0.178 0.841 0.357
Br4 Br 0.500 0.500 0.000
Br5 Br 0.168 0.335 0.336

=====

# 2
# ErCoBr PBE-GGA relaxed
# - Raw formation energy: -1.0222 eV/atom
# - SG: No. 8
data_ErCoBr
_chemical_formula_sum 'Er2 Co2 Br2'
_cell_length_a 3.886
_cell_length_b 3.887
_cell_length_c 11.805
_cell_angle_alpha 80.70
_cell_angle_beta 80.53
_cell_angle_gamma 60.00
_symmetry_space_group_name_H-M 'P 1'
_symmetry_Int_Tables_number 1
loop_
_symmetry_equiv_pos_as_xyz
'x,y,z'
loop_
_atom_site_label
_atom_site_type_symbol
_atom_site_fract_x
_atom_site_fract_y
_atom_site_fract_z
Er1 Er 0.049 0.738 0.164
Er2 Er 0.157 0.840 0.847
Co1 Co 0.436 0.122 0.006
Co2 Co 0.770 0.455 0.006
Br1 Br 0.546 0.226 0.682
Br2 Br 0.326 0.018 0.330